Material: ZrTlCuHg
Method: DFT, PBE-GGA
State: optimized geometry

The structure belongs to space group F-43m (No. 216); the cell edges are 6.8620, 6.8620 and 6.8620 Å and the angles 90.00°, 90.00° and 90.00°. The inequivalent atoms are Zr at (0.0000, 0.0000, 0.0000), Tl at (0.2500, 0.2500, 0.2500), Cu at (0.0000, 0.0000, 0.5000) and Hg at (0.2500, 0.2500, 0.7500).

Its calculated density is 11.5 g/cm3. The energy above the most stable polymorph in this dataset is 0.00 eV per formula unit.